1.
K2ZrPb2: optimized geometry, GGA-PBE.

Properties
- final energy (eV/atom) = -2.851
- space-group type = I4/mmm

Geometry as CIF:
```
data_K2ZrPb2
_space_group_name_H-M_alt 'P 1'
_space_group_IT_number 1
_space_group_name_Hall 'P 1'
_cell_length_a 5.8436
_cell_length_b 5.8436
_cell_length_c 10.1903
_cell_angle_alpha 90.00
_cell_angle_beta 90.00
_cell_angle_gamma 90.00
loop_
_atom_site_label
_atom_site_type_symbol
_atom_site_fract_x
_atom_site_fract_y
_atom_site_fract_z
_atom_site_occupancy
K1 K 0.0000 0.0000 0.1328 1
K2 K 0.0000 0.0000 0.8672 1
K3 K 0.5000 0.5000 0.3672 1
K4 K 0.5000 0.5000 0.6328 1
Zr1 Zr 0.0000 0.0000 0.5000 1
Zr2 Zr 0.5000 0.5000 0.0000 1
Pb1 Pb 0.0000 0.5000 0.2500 1
Pb2 Pb 0.0000 0.5000 0.7500 1
Pb3 Pb 0.5000 0.0000 0.2500 1
Pb4 Pb 0.5000 0.0000 0.7500 1
```

2.
NdThSc2: optimized geometry, GGA-PBE.

Properties
- final energy (eV/atom) = -6.177
- space-group type = Cmmm

Geometry as CIF:
```
data_NdThSc2
_space_group_name_H-M_alt 'P 1'
_space_group_IT_number 1
_space_group_name_Hall 'P 1'
_cell_length_a 7.0903
_cell_length_b 9.1481
_cell_length_c 3.5440
_cell_angle_alpha 90.00
_cell_angle_beta 90.00
_cell_angle_gamma 90.00
loop_
_atom_site_label
_atom_site_type_symbol
_atom_site_fract_x
_atom_site_fract_y
_atom_site_fract_z
_atom_site_occupancy
Nd1 Nd 0.0000 0.0000 0.0000 1
Nd2 Nd 0.5000 0.5000 0.0000 1
Th1 Th 0.0000 0.5000 0.0000 1
Th2 Th 0.5000 0.0000 0.0000 1
Sc1 Sc 0.2500 0.2500 0.5000 1
Sc2 Sc 0.2500 0.7500 0.5000 1
Sc3 Sc 0.7500 0.2500 0.5000 1
Sc4 Sc 0.7500 0.7500 0.5000 1
```

3.
AcLa2Pr2Nd2: optimized geometry, GGA-PBE.

Properties
- final energy (eV/atom) = -4.700
- space-group type = C2/m

Geometry as CIF:
```
data_AcLa2Pr2Nd2
_space_group_name_H-M_alt 'P 1'
_space_group_IT_number 1
_space_group_name_Hall 'P 1'
_cell_length_a 11.8817
_cell_length_b 5.2896
_cell_length_c 8.4199
_cell_angle_alpha 90.00
_cell_angle_beta 98.03
_cell_angle_gamma 90.00
loop_
_atom_site_label
_atom_site_type_symbol
_atom_site_fract_x
_atom_site_fract_y
_atom_site_fract_z
_atom_site_occupancy
Ac1 Ac 0.0000 0.0000 0.0000 1
Ac2 Ac 0.5000 0.5000 0.0000 1
La1 La 0.1421 0.0000 0.4312 1
La2 La 0.3579 0.5000 0.5688 1
La3 La 0.6421 0.5000 0.4312 1
La4 La 0.8579 0.0000 0.5688 1
Pr1 Pr 0.2154 0.5000 0.1464 1
Pr2 Pr 0.2846 0.0000 0.8536 1
Pr3 Pr 0.7154 0.0000 0.1464 1
Pr4 Pr 0.7846 0.5000 0.8536 1
Nd1 Nd 0.0727 0.5000 0.7109 1
Nd2 Nd 0.4273 0.0000 0.2891 1
Nd3 Nd 0.5727 0.0000 0.7109 1
Nd4 Nd 0.9273 0.5000 0.2891 1
```

4.
CaYCl4: optimized geometry, GGA-PBE.

Properties
- final energy (eV/atom) = -3.185
- space-group type = F-43m

Geometry as CIF:
```
data_CaYCl4
_space_group_name_H-M_alt 'P 1'
_space_group_IT_number 1
_space_group_name_Hall 'P 1'
_cell_length_a 5.9921
_cell_length_b 5.9921
_cell_length_c 5.9921
_cell_angle_alpha 60.00
_cell_angle_beta 60.00
_cell_angle_gamma 60.00
loop_
_atom_site_label
_atom_site_type_symbol
_atom_site_fract_x
_atom_site_fract_y
_atom_site_fract_z
_atom_site_occupancy
Ca1 Ca 0.0000 0.0000 0.0000 1
Y1 Y 0.2500 0.2500 0.2500 1
Cl1 Cl 0.1254 0.6249 0.6249 1
Cl2 Cl 0.6249 0.1254 0.6249 1
Cl3 Cl 0.6249 0.6249 0.1254 1
Cl4 Cl 0.6249 0.6249 0.6249 1
```

5.
Hf2P2Ru: optimized geometry, GGA-PBE.

Properties
- final energy (eV/atom) = -8.938
- space-group type = P4/mbm

Geometry as CIF:
```
data_Hf2P2Ru
_space_group_name_H-M_alt 'P 1'
_space_group_IT_number 1
_space_group_name_Hall 'P 1'
_cell_length_a 6.1110
_cell_length_b 6.1110
_cell_length_c 4.1532
_cell_angle_alpha 90.00
_cell_angle_beta 90.00
_cell_angle_gamma 90.00
loop_
_atom_site_label
_atom_site_type_symbol
_atom_site_fract_x
_atom_site_fract_y
_atom_site_fract_z
_atom_site_occupancy
Hf1 Hf 0.1693 0.3307 0.0000 1
Hf2 Hf 0.3307 0.8307 0.0000 1
Hf3 Hf 0.6693 0.1693 0.0000 1
Hf4 Hf 0.8307 0.6693 0.0000 1
P1 P 0.1327 0.6327 0.5000 1
P2 P 0.3673 0.1327 0.5000 1
P3 P 0.6327 0.8673 0.5000 1
P4 P 0.8673 0.3673 0.5000 1
Ru1 Ru 0.0000 0.0000 0.5000 1
Ru2 Ru 0.5000 0.5000 0.5000 1
```

6.
Na4PmPu3Se8: optimized geometry, GGA-PBE.

Properties
- final energy (eV/atom) = -6.532
- space-group type = R-3m

Geometry as CIF:
```
data_Na4PmPu3Se8
_space_group_name_H-M_alt 'P 1'
_space_group_IT_number 1
_space_group_name_Hall 'P 1'
_cell_length_a 8.4883
_cell_length_b 8.4883
_cell_length_c 8.4883
_cell_angle_alpha 59.72
_cell_angle_beta 59.72
_cell_angle_gamma 59.72
loop_
_atom_site_label
_atom_site_type_symbol
_atom_site_fract_x
_atom_site_fract_y
_atom_site_fract_z
_atom_site_occupancy
Na1 Na 0.0000 0.0000 0.0000 1
Na2 Na 0.0000 0.5000 0.5000 1
Na3 Na 0.5000 0.0000 0.5000 1
Na4 Na 0.5000 0.5000 0.0000 1
Pm1 Pm 0.5000 0.5000 0.5000 1
Pu1 Pu 0.0000 0.0000 0.5000 1
Pu2 Pu 0.0000 0.5000 0.0000 1
Pu3 Pu 0.5000 0.0000 0.0000 1
Se1 Se 0.2413 0.7458 0.7458 1
Se2 Se 0.2426 0.2426 0.2426 1
Se3 Se 0.2542 0.2542 0.7587 1
Se4 Se 0.2542 0.7587 0.2542 1
Se5 Se 0.7458 0.2413 0.7458 1
Se6 Se 0.7458 0.7458 0.2413 1
Se7 Se 0.7574 0.7574 0.7574 1
Se8 Se 0.7587 0.2542 0.2542 1
```

7.
Cs2CaTiSe4: optimized geometry, GGA-PBE.

Properties
- final energy (eV/atom) = -4.537
- space-group type = Fddd

Geometry as CIF:
```
data_Cs2CaTiSe4
_space_group_name_H-M_alt 'P 1'
_space_group_IT_number 1
_space_group_name_Hall 'P 1'
_cell_length_a 15.1669
_cell_length_b 13.6543
_cell_length_c 8.1587
_cell_angle_alpha 84.08
_cell_angle_beta 63.57
_cell_angle_gamma 32.35
loop_
_atom_site_label
_atom_site_type_symbol
_atom_site_fract_x
_atom_site_fract_y
_atom_site_fract_z
_atom_site_occupancy
Cs1 Cs 0.0554 0.0554 0.6946 1
Cs2 Cs 0.3054 0.3054 0.9446 1
Cs3 Cs 0.6946 0.6946 0.0554 1
Cs4 Cs 0.9446 0.9446 0.3054 1
Ca1 Ca 0.1250 0.1250 0.1250 1
Ca2 Ca 0.8750 0.8750 0.8750 1
Ti1 Ti 0.3750 0.3750 0.3750 1
Ti2 Ti 0.6250 0.6250 0.6250 1
Se1 Se 0.0204 0.6271 0.5375 1
Se2 Se 0.3150 0.5375 0.6271 1
Se3 Se 0.3729 0.9796 0.6850 1
Se4 Se 0.4625 0.6850 0.9796 1
Se5 Se 0.5375 0.3150 0.0204 1
Se6 Se 0.6271 0.0204 0.3150 1
Se7 Se 0.6850 0.4625 0.3729 1
Se8 Se 0.9796 0.3729 0.4625 1
```

8.
In3Ga2Sn2: optimized geometry, GGA-PBE.

Properties
- final energy (eV/atom) = -3.150
- space-group type = C2/m

Geometry as CIF:
```
data_In3Ga2Sn2
_space_group_name_H-M_alt 'P 1'
_space_group_IT_number 1
_space_group_name_Hall 'P 1'
_cell_length_a 10.6882
_cell_length_b 4.8880
_cell_length_c 6.7396
_cell_angle_alpha 90.00
_cell_angle_beta 94.06
_cell_angle_gamma 90.00
loop_
_atom_site_label
_atom_site_type_symbol
_atom_site_fract_x
_atom_site_fract_y
_atom_site_fract_z
_atom_site_occupancy
In1 In 0.0000 0.0000 0.0000 1
In2 In 0.2007 0.5000 0.1652 1
In3 In 0.2993 0.0000 0.8348 1
In4 In 0.5000 0.5000 0.0000 1
In5 In 0.7007 0.0000 0.1652 1
In6 In 0.7993 0.5000 0.8348 1
Ga1 Ga 0.1292 0.0000 0.4325 1
Ga2 Ga 0.3708 0.5000 0.5675 1
Ga3 Ga 0.6292 0.5000 0.4325 1
Ga4 Ga 0.8708 0.0000 0.5675 1
Sn1 Sn 0.0954 0.5000 0.6980 1
Sn2 Sn 0.4046 0.0000 0.3020 1
Sn3 Sn 0.5954 0.0000 0.6980 1
Sn4 Sn 0.9046 0.5000 0.3020 1
```

9.
BaCd2CuPb: optimized geometry, GGA-PBE.

Properties
- final energy (eV/atom) = -2.439
- space-group type = P4/mmm

Geometry as CIF:
```
data_BaCd2CuPb
_space_group_name_H-M_alt 'P 1'
_space_group_IT_number 1
_space_group_name_Hall 'P 1'
_cell_length_a 5.1753
_cell_length_b 5.1753
_cell_length_c 5.3999
_cell_angle_alpha 90.00
_cell_angle_beta 90.00
_cell_angle_gamma 90.00
loop_
_atom_site_label
_atom_site_type_symbol
_atom_site_fract_x
_atom_site_fract_y
_atom_site_fract_z
_atom_site_occupancy
Ba1 Ba 0.0000 0.0000 0.0000 1
Cd1 Cd 0.0000 0.5000 0.5000 1
Cd2 Cd 0.5000 0.0000 0.5000 1
Cu1 Cu 0.5000 0.5000 0.5000 1
Pb1 Pb 0.5000 0.5000 0.0000 1
```

10.
SnAsCl2: optimized geometry, GGA-PBE.

Properties
- final energy (eV/atom) = -3.326
- space-group type = R-3m

Geometry as CIF:
```
data_SnAsCl2
_space_group_name_H-M_alt 'P 1'
_space_group_IT_number 1
_space_group_name_Hall 'P 1'
_cell_length_a 3.3654
_cell_length_b 3.3654
_cell_length_c 29.1936
_cell_angle_alpha 90.00
_cell_angle_beta 90.00
_cell_angle_gamma 120.00
loop_
_atom_site_label
_atom_site_type_symbol
_atom_site_fract_x
_atom_site_fract_y
_atom_site_fract_z
_atom_site_occupancy
Sn1 Sn 0.0000 0.0000 0.0000 1
Sn2 Sn 0.3333 0.6667 0.6667 1
Sn3 Sn 0.6667 0.3333 0.3333 1
As1 As 0.0000 0.0000 0.5000 1
As2 As 0.3333 0.6667 0.1667 1
As3 As 0.6667 0.3333 0.8333 1
Cl1 Cl 0.0000 0.0000 0.4162 1
Cl2 Cl 0.0000 0.0000 0.5838 1
Cl3 Cl 0.3333 0.6667 0.0829 1
Cl4 Cl 0.3333 0.6667 0.2504 1
Cl5 Cl 0.6667 0.3333 0.7496 1
Cl6 Cl 0.6667 0.3333 0.9171 1
```

Among the records above, which one has the lowest final energy? Hf2P2Ru

Look up the final energy of the sixth one. -6.532 eV/atom

Which of these has the highest final energy? BaCd2CuPb

What is the final energy in the fourth record? -3.185 eV/atom